An optimized crystal structure of Co2PbCl. Source: the Alexandria database, functional PBE.

The structure in POSCAR format:
```
Co2PbCl
1.0
2.943 -4.463 0.000
2.943 4.463 0.000
-1.760 0.000 2.765
Co Pb Cl
2 1 1
direct
0.000 0.500 0.000
0.500 0.000 0.000
0.000 0.000 0.500
0.500 0.500 0.500
```

Values from the calculation:
ΔE to the lowest computed polymorph   2.01 eV per formula unit
SG   C2/m
Formation energy without anion corrections   670.9 meV per atom